(1)
Density functional theory data (PBE) for VGaW3 after structural relaxation.

a b c (Å): 4.5512 4.5512 4.5512
angles (deg): 90.00 90.00 90.00
Last column: nearest neighbours and their distance in Å.
Positions (direct):
V (0.0000, 0.0000, 0.0000)  6 W 2.28
Ga (0.5000, 0.5000, 0.5000)  12 W 3.22
W (0.0000, 0.0000, 0.5000)  2 V 2.28
W (0.0000, 0.5000, 0.0000)  2 V 2.28
W (0.5000, 0.0000, 0.0000)  2 V 2.28

Calculated values
ΔH_f (0 K)	1.64	eV per atom
total DFT energy (no corrections)	-42.80	eV/cell
M_tot	0.0	μB per formula unit

(2)
Density functional theory data (PBE) for Mn2CrGe after structural relaxation.

a b c (Å): 5.3322 5.3322 5.3322
angles (deg): 103.69 103.69 121.79
Last column: nearest neighbours and their distance in Å.
Positions (direct):
Mn (0.1011, 0.6250, 0.9761)  2 Cr 2.31, 2 Ge 2.53
Mn (0.3750, 0.3511, 0.4761)  2 Cr 2.31, 2 Ge 2.53
Mn (0.6489, 0.1250, 0.0239)  2 Cr 2.31, 2 Ge 2.53
Mn (0.8750, 0.8989, 0.5239)  2 Cr 2.31, 2 Ge 2.53
Cr (0.0000, 0.0000, 0.0000)  4 Mn 2.31
Cr (0.7500, 0.2500, 0.5000)  4 Mn 2.31
Ge (0.2500, 0.7500, 0.5000)  4 Mn 2.53, 2 Cr 2.59
Ge (0.5000, 0.5000, 0.0000)  4 Mn 2.53, 2 Cr 2.59

Calculated values
ΔH_f (0 K)	0.45	eV per atom
total DFT energy (no corrections)	-61.59	eV/cell
M_tot	2.6	μB per formula unit

(3)
Density functional theory data (PBE) for Cs3Cd2Pb after structural relaxation.

a b c (Å): 8.5787 8.5787 9.2956
angles (deg): 97.53 97.53 86.54
Last column: nearest neighbours and their distance in Å.
Positions (direct):
Cs (0.1350, 0.8650, 0.7500)  4 Cd 4.03-4.09, 1 Pb 4.04
Cs (0.2468, 0.3737, 0.9966)  4 Cd 3.97-4.23, 1 Pb 4.04
Cs (0.3737, 0.2468, 0.4966)  4 Cd 3.97-4.23, 1 Pb 4.04
Cs (0.6263, 0.7532, 0.5034)  4 Cd 3.97-4.23, 1 Pb 4.04
Cs (0.7532, 0.6263, 0.0034)  4 Cd 3.97-4.23, 1 Pb 4.04
Cs (0.8650, 0.1350, 0.2500)  4 Cd 4.03-4.09, 1 Pb 4.04
Cd (0.0474, 0.5689, 0.3770)  1 Pb 2.88, 1 Cd 2.93
Cd (0.4311, 0.9526, 0.1230)  1 Pb 2.88, 1 Cd 2.93
Cd (0.5689, 0.0474, 0.8770)  1 Pb 2.88, 1 Cd 2.93
Cd (0.9526, 0.4311, 0.6230)  1 Pb 2.88, 1 Cd 2.93
Pb (0.2089, 0.7911, 0.2500)  2 Cd 2.88
Pb (0.7911, 0.2089, 0.7500)  2 Cd 2.88

Calculated values
ΔH_f (0 K)	-0.08	eV per atom
total DFT energy (no corrections)	-17.17	eV/cell
M_tot	0.0	μB per formula unit